Record 1
The following is a PBE calculation of an optimized crystal structure of TlNiBr, from the Alexandria database.

Output
Energy above the lowest structure with this stoichiometry, kJ/mol of atoms: 0.0
Raw formation energy, eV per formula unit: 0.1

Unit cell a=3.8338 b=3.8338 c=5.5989 alpha=90.00 beta=90.00 gamma=120.00
Space group P3m1 (No. 156)
Asymmetric unit:
Tl  0.0000  0.0000  0.0000 [1 per cell]
Ni  0.3333  0.6667  0.7380 [1 per cell]
Br  0.6667  0.3333  0.5183 [1 per cell]

Record 2
The following is a PBE calculation of an optimized crystal structure of Tl3NiBr8, from the Alexandria database.

Output
Raw formation energy, eV per formula unit: -3.0

Unit cell a=8.331 b=8.331 c=11.738 alpha=90.00 beta=90.00 gamma=90.00
Space group I4/mmm (No. 139)
Asymmetric unit:
Tl  0.000  0.000  0.000 [2 per cell]
Tl  0.000  0.500  0.250 [4 per cell]
Ni  0.000  0.000  0.500 [2 per cell]
Br  0.218  0.218  0.375 [16 per cell]

Record 3
The following is a PBE calculation of an optimized crystal structure of TlNiBr4, from the Alexandria database.

Output
Energy above the lowest structure with this stoichiometry, kJ/mol of atoms: 0.4
Raw formation energy, eV per formula unit: -2.3

Unit cell a=10.300 b=13.189 c=7.550 alpha=90.00 beta=90.00 gamma=90.00
Space group Cccm (No. 66)
Asymmetric unit:
Tl  0.250  0.250  0.000 [4 per cell]
Ni  0.000  0.000  0.250 [4 per cell]
Br  0.000  0.181  0.250 [8 per cell]
Br  0.166  0.002  0.500 [8 per cell]

- The highest raw formation energy belongs to which entry?
  TlNiBr

- Among the records above, which one has the highest raw formation energy?
  TlNiBr

Please write out number 3 again, unchanged.
The following is a PBE calculation of an optimized crystal structure of TlNiBr4, from the Alexandria database.

Output
Energy above the lowest structure with this stoichiometry, kJ/mol of atoms: 0.4
Raw formation energy, eV per formula unit: -2.3

Unit cell a=10.300 b=13.189 c=7.550 alpha=90.00 beta=90.00 gamma=90.00
Space group Cccm (No. 66)
Asymmetric unit:
Tl  0.250  0.250  0.000 [4 per cell]
Ni  0.000  0.000  0.250 [4 per cell]
Br  0.000  0.181  0.250 [8 per cell]
Br  0.166  0.002  0.500 [8 per cell]